A plane-wave DFT calculation with PBE with a Hubbard U was carried out for a geometry-optimized BeMoPO2 structure.

Results
As for the space-group type: P4/mmm (123). Its total magnetic moment is 1.1 μB per cell. The calculation puts the polymorph energy (0 for the lowest one) at 0.1664 eV/atom.

Lattice parameters (Å, degrees): 3.4976 3.4976 5.0189 90.00 90.00 90.00
Element x y z (fractional)
Be 0.0000 0.0000 0.0000
Mo 0.5000 0.5000 0.5000
P 0.0000 0.0000 0.5000
O 0.0000 0.5000 0.0000
O 0.5000 0.0000 0.0000